## LiVO2F2 (PBE+U)

Data for a relaxed structure of LiVO2F2.

Cell: 6.0536 6.0539 8.1530 Å, 88.86 90.00 90.00°
Closest atoms and distances in Å follow each position.
Fractional positions:
Li 0.2500 0.2554 0.8643  2 F 1.89-1.92, 2 O 2.08-2.09
Li 0.7564 0.7501 0.3690  2 F 1.93-1.96, 2 O 1.94-2.00
Li 0.2500 0.7446 0.1357  2 F 1.89-1.92, 2 O 2.08-2.09
Li 0.7564 0.2499 0.6310  2 F 1.93-1.96, 2 O 1.94-2.00
O 0.9689 0.2264 0.0098  2 V 1.84-1.87
O 0.2073 0.9872 0.7094  1 V 1.75
O 0.7963 0.5383 0.7272  1 V 1.64
O 0.7784 0.0231 0.2277  2 V 1.87-1.88, 1 Li 2.00
O 0.7963 0.4617 0.2728  1 V 1.64
O 0.2073 0.0128 0.2906  1 V 1.75
O 0.9689 0.7736 0.9902  2 V 1.84-1.87
O 0.7784 0.9769 0.7723  2 V 1.87-1.88, 1 Li 2.00
F 0.4789 0.7823 0.4839  1 V 1.82, 1 Li 1.93
F 0.4789 0.2177 0.5161  1 V 1.82, 1 Li 1.93
F 0.0167 0.2303 0.4889  1 Li 1.96, 2 V 2.09-2.11
F 0.0167 0.7697 0.5111  1 Li 1.96, 2 V 2.09-2.11
F 0.2243 0.5550 0.7852  1 V 1.88, 1 Li 1.92
F 0.5301 0.2052 0.9600  1 V 1.88, 1 Li 1.89
F 0.2243 0.4450 0.2148  1 V 1.88, 1 Li 1.92
F 0.5301 0.7948 0.0400  1 V 1.88, 1 Li 1.89
V 0.2733 0.0000 0.5000  2 O 1.75, 2 F 1.82
V 0.7584 0.0000 0.0000  4 O 1.87, 2 F 1.88
V 0.9728 0.7358 0.7671  1 O 1.64
V 0.9728 0.2642 0.2329  1 O 1.64

Output
Density, Mg/m³: 2.84
E above lowest polymorph, eV/atom: 0.071
Crystal system: monoclinic